1.
# GGA-PBEsol NbPSe2, optimized geometry
# E_form (uncorrected) (eV/atom): 0.38
# Spin magnetization (μB per cell): 0.0
# Raw total energy (eV per atom): -5.70
# Theoretical density (g/cm3): 4.845
# DOS(E_F) (states/eV per cell): 13.00
data_NbPSe2
_cell_length_a 6.040
_cell_length_b 6.040
_cell_length_c 10.592
_cell_angle_alpha 90.00
_cell_angle_beta 90.00
_cell_angle_gamma 90.00
_symmetry_space_group_name_H-M 'I -4 2 d'
_symmetry_Int_Tables_number 122
_symmetry_space_group_name_Hall 'I -4 2bw'
loop_
_atom_site_label
_atom_site_type_symbol
_atom_site_fract_x
_atom_site_fract_y
_atom_site_fract_z
Nb1 Nb 0.000 0.000 0.000
P1 P 0.000 0.000 0.500
Se1 Se 0.239 0.250 0.125

2.
# GGA-PBEsol NbPSe2, optimized geometry
# E_form (uncorrected) (eV/atom): -0.21
# Spin magnetization (μB per cell): 0.0
# Raw total energy (eV per atom): -6.29
# Theoretical density (g/cm3): 5.822
# DOS(E_F) (states/eV per cell): 4.67
data_NbPSe2
_cell_length_a 3.2916
_cell_length_b 3.2916
_cell_length_c 25.6957
_cell_angle_alpha 90.00
_cell_angle_beta 90.00
_cell_angle_gamma 120.00
_symmetry_space_group_name_H-M 'R -3 m'
_symmetry_Int_Tables_number 166
_symmetry_space_group_name_Hall '-R 3 2"'
loop_
_atom_site_label
_atom_site_type_symbol
_atom_site_fract_x
_atom_site_fract_y
_atom_site_fract_z
Nb1 Nb 0.0000 0.0000 0.0000
P1 P 0.0000 0.0000 0.5000
Se1 Se 0.0000 0.0000 0.4017

3.
# GGA-PBEsol NbSiP2, optimized geometry
# E_form (uncorrected) (eV/atom): 0.01
# Spin magnetization (μB per cell): 0.0
# Raw total energy (eV per atom): -7.03
# Theoretical density (g/cm3): 3.904
# DOS(E_F) (states/eV per cell): 12.60
data_NbSiP2
_cell_length_a 5.673
_cell_length_b 5.673
_cell_length_c 9.670
_cell_angle_alpha 90.00
_cell_angle_beta 90.00
_cell_angle_gamma 90.00
_symmetry_space_group_name_H-M 'I -4 2 d'
_symmetry_Int_Tables_number 122
_symmetry_space_group_name_Hall 'I -4 2bw'
loop_
_atom_site_label
_atom_site_type_symbol
_atom_site_fract_x
_atom_site_fract_y
_atom_site_fract_z
Nb1 Nb 0.000 0.000 0.000
Si1 Si 0.000 0.000 0.500
P1 P 0.222 0.750 0.625

4.
# GGA-PBEsol Nb5Si3P, optimized geometry
# E_form (uncorrected) (eV/atom): -0.71
# Spin magnetization (μB per cell): 0.0
# Raw total energy (eV per atom): -9.28
# Theoretical density (g/cm3): 6.941
# DOS(E_F) (states/eV per cell): 10.04
data_Nb5Si3P
_cell_length_a 7.7583
_cell_length_b 7.7583
_cell_length_c 5.3214
_cell_angle_alpha 90.00
_cell_angle_beta 90.00
_cell_angle_gamma 120.00
_symmetry_space_group_name_H-M 'P 63/m c m'
_symmetry_Int_Tables_number 193
_symmetry_space_group_name_Hall '-P 6c 2'
loop_
_atom_site_label
_atom_site_type_symbol
_atom_site_fract_x
_atom_site_fract_y
_atom_site_fract_z
Nb1 Nb 0.0000 0.2661 0.2500
Nb2 Nb 0.3333 0.6667 0.0000
Si1 Si 0.0000 0.3994 0.7500
P1 P 0.0000 0.0000 0.0000

5.
# GGA-PBEsol NbSn3P, optimized geometry
# Spin magnetization (μB per cell): 3.0
# Raw total energy (eV per atom): -4.92
# Theoretical density (g/cm3): 6.361
# ΔE_f (meV/atom): 962
# DOS(E_F) (states/eV per cell): 6.17
data_NbSn3P
_cell_length_a 5.004
_cell_length_b 5.004
_cell_length_c 5.004
_cell_angle_alpha 90.00
_cell_angle_beta 90.00
_cell_angle_gamma 90.00
_symmetry_space_group_name_H-M 'P m -3 m'
_symmetry_Int_Tables_number 221
_symmetry_space_group_name_Hall '-P 4 2 3'
loop_
_atom_site_label
_atom_site_type_symbol
_atom_site_fract_x
_atom_site_fract_y
_atom_site_fract_z
Nb1 Nb 0.000 0.000 0.000
Sn1 Sn 0.000 0.500 0.500
P1 P 0.500 0.500 0.500

6.
# GGA-PBEsol NbTcP3, optimized geometry
# Spin magnetization (μB per cell): 2.9
# Raw total energy (eV per atom): -7.09
# Theoretical density (g/cm3): 5.102
# ΔE_f (meV/atom): 807
# DOS(E_F) (states/eV per cell): 4.86
data_NbTcP3
_cell_length_a 4.520
_cell_length_b 4.520
_cell_length_c 4.520
_cell_angle_alpha 90.00
_cell_angle_beta 90.00
_cell_angle_gamma 90.00
_symmetry_space_group_name_H-M 'P m -3 m'
_symmetry_Int_Tables_number 221
_symmetry_space_group_name_Hall '-P 4 2 3'
loop_
_atom_site_label
_atom_site_type_symbol
_atom_site_fract_x
_atom_site_fract_y
_atom_site_fract_z
Nb1 Nb 0.000 0.000 0.000
Tc1 Tc 0.500 0.500 0.500
P1 P 0.000 0.500 0.500

7.
# GGA-PBEsol Nb3TeP, optimized geometry
# E_form (uncorrected) (eV/atom): 1.71
# Spin magnetization (μB per cell): 0.0
# Raw total energy (eV per atom): -6.65
# Theoretical density (g/cm3): 5.938
# DOS(E_F) (states/eV per cell): 7.65
data_Nb3TeP
_cell_length_a 4.963
_cell_length_b 4.963
_cell_length_c 4.963
_cell_angle_alpha 90.00
_cell_angle_beta 90.00
_cell_angle_gamma 90.00
_symmetry_space_group_name_H-M 'P m -3 m'
_symmetry_Int_Tables_number 221
_symmetry_space_group_name_Hall '-P 4 2 3'
loop_
_atom_site_label
_atom_site_type_symbol
_atom_site_fract_x
_atom_site_fract_y
_atom_site_fract_z
Nb1 Nb 0.000 0.000 0.500
Te1 Te 0.000 0.000 0.000
P1 P 0.500 0.500 0.500

8.
# GGA-PBEsol TiNbP3, optimized geometry
# Spin magnetization (μB per cell): 1.6
# Raw total energy (eV per atom): -6.81
# Theoretical density (g/cm3): 3.682
# ΔE_f (meV/atom): 493
# DOS(E_F) (states/eV per cell): 6.03
data_TiNbP3
_cell_length_a 4.723
_cell_length_b 4.723
_cell_length_c 4.723
_cell_angle_alpha 90.00
_cell_angle_beta 90.00
_cell_angle_gamma 90.00
_symmetry_space_group_name_H-M 'P m -3 m'
_symmetry_Int_Tables_number 221
_symmetry_space_group_name_Hall '-P 4 2 3'
loop_
_atom_site_label
_atom_site_type_symbol
_atom_site_fract_x
_atom_site_fract_y
_atom_site_fract_z
Ti1 Ti 0.000 0.000 0.000
Nb1 Nb 0.500 0.500 0.500
P1 P 0.000 0.500 0.500

9.
# GGA-PBEsol Nb3TlP, optimized geometry
# Spin magnetization (μB per cell): 0.0
# Raw total energy (eV per atom): -7.95
# Theoretical density (g/cm3): 8.649
# ΔE_f (meV/atom): 230
# DOS(E_F) (states/eV per cell): 9.45
data_Nb3TlP
_cell_length_a 4.621
_cell_length_b 4.621
_cell_length_c 4.621
_cell_angle_alpha 90.00
_cell_angle_beta 90.00
_cell_angle_gamma 90.00
_symmetry_space_group_name_H-M 'P m -3 m'
_symmetry_Int_Tables_number 221
_symmetry_space_group_name_Hall '-P 4 2 3'
loop_
_atom_site_label
_atom_site_type_symbol
_atom_site_fract_x
_atom_site_fract_y
_atom_site_fract_z
Nb1 Nb 0.000 0.000 0.500
Tl1 Tl 0.500 0.500 0.500
P1 P 0.000 0.000 0.000

10.
# GGA-PBEsol NbVP, optimized geometry
# Spin magnetization (μB per cell): 0.0
# Raw total energy (eV per atom): -9.71
# Theoretical density (g/cm3): 7.042
# ΔE_f (meV/atom): -961
# DOS(E_F) (states/eV per cell): 7.73
data_NbVP
_cell_length_a 6.374
_cell_length_b 3.383
_cell_length_c 7.647
_cell_angle_alpha 90.00
_cell_angle_beta 90.00
_cell_angle_gamma 90.00
_symmetry_space_group_name_H-M 'P n m a'
_symmetry_Int_Tables_number 62
loop_
_symmetry_equiv_pos_as_xyz
'x,y,z'
'-x,-y,-z'
'-x+1/2,-y,z+1/2'
'x+1/2,y,-z+1/2'
'x+1/2,-y+1/2,-z+1/2'
'-x+1/2,y+1/2,z+1/2'
'-x,y+1/2,-z'
'x,-y+1/2,z'
loop_
_atom_site_label
_atom_site_type_symbol
_atom_site_fract_x
_atom_site_fract_y
_atom_site_fract_z
Nb1 Nb 0.038 0.250 0.168
V1 V 0.136 0.250 0.557
P1 P 0.239 0.750 0.361

11.
# GGA-PBEsol NbP2W, optimized geometry
# Spin magnetization (μB per cell): 0.0
# Raw total energy (eV per atom): -9.48
# Theoretical density (g/cm3): 10.034
# ΔE_f (meV/atom): -424
# DOS(E_F) (states/eV per cell): 17.01
data_NbP2W
_cell_length_a 6.075
_cell_length_b 6.075
_cell_length_c 6.075
_cell_angle_alpha 90.00
_cell_angle_beta 90.00
_cell_angle_gamma 90.00
_symmetry_space_group_name_H-M 'F m -3 m'
_symmetry_Int_Tables_number 225
_symmetry_space_group_name_Hall '-F 4 2 3'
loop_
_atom_site_label
_atom_site_type_symbol
_atom_site_fract_x
_atom_site_fract_y
_atom_site_fract_z
Nb1 Nb 0.000 0.000 0.000
P1 P 0.250 0.250 0.250
W1 W 0.000 0.000 0.500

12.
# GGA-PBEsol YNbP2, optimized geometry
# Spin magnetization (μB per cell): 0.0
# Raw total energy (eV per atom): -7.78
# Theoretical density (g/cm3): 4.039
# ΔE_f (meV/atom): -469
# DOS(E_F) (states/eV per cell): 16.36
data_YNbP2
_cell_length_a 5.837
_cell_length_b 5.837
_cell_length_c 11.765
_cell_angle_alpha 90.00
_cell_angle_beta 90.00
_cell_angle_gamma 90.00
_symmetry_space_group_name_H-M 'I -4 2 d'
_symmetry_Int_Tables_number 122
_symmetry_space_group_name_Hall 'I -4 2bw'
loop_
_atom_site_label
_atom_site_type_symbol
_atom_site_fract_x
_atom_site_fract_y
_atom_site_fract_z
Y1 Y 0.000 0.000 0.000
Nb1 Nb 0.000 0.000 0.500
P1 P 0.207 0.250 0.625

Question: Which of these has the lowest DOS(E_F)?
Answer: number 2

Question: spin magnetization of number 3 (NbSiP2)?
Answer: 0.0 μB per cell